Computed, not measured: La2Tb3Th2 after structural relaxation at the PBE level of DFT.

Unit cell a=3.544 b=8.581 c=8.798 alpha=116.82 beta=90.63 gamma=97.58
Space group P-1 (No. 2)
Symmetry-distinct sites (fractional):
La 0.138 0.351 0.073
Tb 0.456 0.946 0.774
Tb 0.500 0.500 0.500
Th 0.075 0.219 0.632

**Energy of formation**: 0.103 eV per atom
**ρ**: 8.58 g/cm³
**DOS at the Fermi energy**: 11.3 states/eV/cell

***

Computed, not measured: La4Tb6Th after structural relaxation at the PBE level of DFT.

Unit cell a=5.879 b=9.741 c=26.146 alpha=90.00 beta=90.00 gamma=90.00
Space group Cmcm (No. 63)
Symmetry-distinct sites (fractional):
La 0.000 0.041 0.123
La 0.000 0.345 0.045
Tb 0.000 0.000 0.000
Tb 0.000 0.044 0.250
Tb 0.000 0.306 0.604
Tb 0.000 0.373 0.185
Th 0.000 0.294 0.750

**Energy of formation**: 0.132 eV per atom
**ρ**: 7.72 g/cm³
**DOS at the Fermi energy**: 79.8 states/eV/cell

***

Computed, not measured: La4Tb19Th6 after structural relaxation at the PBE level of DFT.

Unit cell a=12.563 b=12.563 c=12.563 alpha=90.00 beta=90.00 gamma=90.00
Space group I23 (No. 197)
Symmetry-distinct sites (fractional):
La 0.181 0.181 0.181
Tb 0.000 0.000 0.000
Tb 0.000 0.000 0.265
Tb 0.063 0.278 0.740
Th 0.000 0.129 0.500

**Energy of formation**: 0.435 eV per atom
**ρ**: 8.32 g/cm³
**DOS at the Fermi energy**: 90.5 states/eV/cell

***

Computed, not measured: La2Tb4Th after structural relaxation at the PBE level of DFT.

Unit cell a=5.735 b=5.735 c=17.237 alpha=90.00 beta=90.00 gamma=90.00
Space group I4/mmm (No. 139)
Symmetry-distinct sites (fractional):
La 0.000 0.000 0.119
Tb 0.000 0.000 0.322
Tb 0.000 0.500 0.000
Th 0.000 0.000 0.500

**ΔE to the lowest computed polymorph**: 3.29 eV per formula unit
**Energy of formation**: 0.693 eV per atom
**ρ**: 6.71 g/cm³
**DOS at the Fermi energy**: 19.3 states/eV/cell

***

Computed, not measured: La3Tb5Th2 after structural relaxation at the PBE level of DFT.

Unit cell a=10.883 b=17.523 c=8.986 alpha=90.00 beta=127.07 gamma=90.00
Space group C2/c (No. 15)
Symmetry-distinct sites (fractional):
La 0.000 0.225 0.250
La 0.146 0.124 0.043
Tb 0.000 0.030 0.250
Tb 0.000 0.280 0.750
Tb 0.000 0.467 0.750
Tb 0.248 0.386 0.246
Th 0.137 0.380 0.524

**Energy of formation**: 0.193 eV per atom
**ρ**: 8.14 g/cm³
**DOS at the Fermi energy**: 51.4 states/eV/cell

***

Computed, not measured: La4TbTh3 after structural relaxation at the PBE level of DFT.

Unit cell a=5.110 b=10.246 c=10.456 alpha=90.00 beta=90.00 gamma=90.00
Space group Pmmn (No. 59, origin choice 2)
Symmetry-distinct sites (fractional):
La 0.250 0.001 0.139
La 0.250 0.250 0.867
La 0.250 0.750 0.857
Tb 0.250 0.750 0.386
Th 0.250 0.250 0.382
Th 0.250 0.502 0.616

**Energy of formation**: 0.030 eV per atom
**ρ**: 8.56 g/cm³
**DOS at the Fermi energy**: 25.4 states/eV/cell

***

Computed, not measured: La4Tb3Th after structural relaxation at the PBE level of DFT.

Unit cell a=24.005 b=3.486 c=6.930 alpha=90.00 beta=106.59 gamma=90.00
Space group C2/m (No. 12)
Symmetry-distinct sites (fractional):
La 0.120 0.000 0.360
La 0.243 0.500 0.234
Tb 0.000 0.000 0.500
Tb 0.121 0.000 0.883
Th 0.000 0.500 0.000

**ΔE to the lowest computed polymorph**: 0.00 eV per formula unit
**Energy of formation**: 0.156 eV per atom
**ρ**: 7.56 g/cm³
**DOS at the Fermi energy**: 28.0 states/eV/cell

***

Computed, not measured: LaTb6Th2 after structural relaxation at the PBE level of DFT.

Unit cell a=5.695 b=21.066 c=9.847 alpha=90.00 beta=90.00 gamma=90.00
Space group Imma (No. 74)
Symmetry-distinct sites (fractional):
La 0.000 0.250 0.000
Tb 0.000 0.083 0.000
Tb 0.000 0.166 0.333
Tb 0.000 0.166 0.667
Th 0.000 0.000 0.333

**Energy of formation**: 0.077 eV per atom
**ρ**: 8.75 g/cm³
**DOS at the Fermi energy**: 54.3 states/eV/cell

***

Computed, not measured: La5TbTh after structural relaxation at the PBE level of DFT.

Unit cell a=6.337 b=6.346 c=7.328 alpha=99.53 beta=99.72 gamma=113.71
Space group P-1 (No. 2)
Symmetry-distinct sites (fractional):
La 0.000 0.000 0.000
La 0.103 0.533 0.766
La 0.467 0.897 0.234
Tb 0.000 0.000 0.500
Th 0.500 0.500 0.500

**Energy of formation**: 0.194 eV per atom
**ρ**: 7.02 g/cm³
**DOS at the Fermi energy**: 12.0 states/eV/cell

***

Computed, not measured: La2Tb3Th3 after structural relaxation at the PBE level of DFT.

Unit cell a=9.1649 b=9.1649 c=3.6770 alpha=90.00 beta=90.00 gamma=120.00
Space group P-62m (No. 189)
Symmetry-distinct sites (fractional):
La 0.3333 0.6667 0.0000
Tb 0.0000 0.3907 0.5000
Th 0.0000 0.7764 0.0000

**Energy of formation**: 0.187 eV per atom
**ρ**: 9.00 g/cm³
**DOS at the Fermi energy**: 11.7 states/eV/cell

***

Computed, not measured: La12TbTh7 after structural relaxation at the PBE level of DFT.

Unit cell a=11.735 b=11.735 c=11.735 alpha=90.00 beta=90.00 gamma=90.00
Space group Im-3 (No. 204)
Symmetry-distinct sites (fractional):
La 0.000 0.309 0.219
Tb 0.000 0.000 0.000
Th 0.000 0.000 0.500
Th 0.250 0.250 0.250

**Energy of formation**: 0.787 eV per atom
**ρ**: 7.09 g/cm³
**DOS at the Fermi energy**: 88.9 states/eV/cell

***

Computed, not measured: LaTbTh after structural relaxation at the PBE level of DFT.

Unit cell a=5.7774 b=5.7774 c=3.4909 alpha=90.00 beta=90.00 gamma=120.00
Space group P-6m2 (No. 187)
Symmetry-distinct sites (fractional):
La 0.0000 0.0000 0.0000
Tb 0.6667 0.3333 0.5000
Th 0.3333 0.6667 0.0000

**ΔE to the lowest computed polymorph**: 0.28 eV per formula unit
**Energy of formation**: 0.103 eV per atom
**ρ**: 8.72 g/cm³
**DOS at the Fermi energy**: 5.5 states/eV/cell

***

Computed, not measured: La3Tb3Th4 after structural relaxation at the PBE level of DFT.

Unit cell a=3.952 b=13.347 c=13.246 alpha=90.00 beta=90.00 gamma=90.00
Space group Amm2 (No. 38)
Symmetry-distinct sites (fractional):
La 0.000 0.000 0.000
La 0.500 0.245 0.586
Tb 0.000 0.000 0.672
Tb 0.000 0.164 0.335
Th 0.500 0.000 0.205
Th 0.500 0.000 0.465
Th 0.500 0.131 0.836

**Energy of formation**: 0.195 eV per atom
**ρ**: 8.66 g/cm³
**DOS at the Fermi energy**: 28.1 states/eV/cell

***

Computed, not measured: La4Tb2Th after structural relaxation at the PBE level of DFT.

Unit cell a=8.342 b=8.342 c=3.529 alpha=90.00 beta=90.00 gamma=90.00
Space group P-42m (No. 111)
Symmetry-distinct sites (fractional):
La 0.207 0.207 0.132
Tb 0.000 0.500 0.500
Th 0.500 0.500 0.000

**ΔE to the lowest computed polymorph**: 1.50 eV per formula unit
**Energy of formation**: 0.296 eV per atom
**ρ**: 7.47 g/cm³
**DOS at the Fermi energy**: 10.8 states/eV/cell

***

Computed, not measured: LaTb6Th12 after structural relaxation at the PBE level of DFT.

Unit cell a=13.3803 b=13.3803 c=12.3501 alpha=90.00 beta=90.00 gamma=120.00
Space group R-3m (No. 166, hexagonal axes)
Symmetry-distinct sites (fractional):
La 0.0000 0.0000 0.0000
Tb 0.0388 0.5194 0.6197
Th 0.0000 0.2532 0.5000
Th 0.0894 0.1787 0.2613

**Energy of formation**: 0.243 eV per atom
**ρ**: 10.09 g/cm³
**DOS at the Fermi energy**: 91.8 states/eV/cell

***

Computed, not measured: La2Tb2Th after structural relaxation at the PBE level of DFT.

Unit cell a=3.6220 b=3.6220 c=14.8873 alpha=90.00 beta=90.00 gamma=120.00
Space group P-3m1 (No. 164)
Symmetry-distinct sites (fractional):
La 0.3333 0.6667 0.3949
Tb 0.3333 0.6667 0.8108
Th 0.0000 0.0000 0.0000

**ΔE to the lowest computed polymorph**: 0.00 eV per formula unit
**Energy of formation**: 0.024 eV per atom
**ρ**: 8.13 g/cm³
**DOS at the Fermi energy**: 6.7 states/eV/cell

***

Computed, not measured: La4TbTh2 after structural relaxation at the PBE level of DFT.

Unit cell a=3.6594 b=3.6594 c=62.9842 alpha=90.00 beta=90.00 gamma=120.00
Space group R-3m (No. 166, hexagonal axes)
Symmetry-distinct sites (fractional):
La 0.0000 0.0000 0.0971
La 0.0000 0.0000 0.3802
Tb 0.0000 0.0000 0.0000
Th 0.0000 0.0000 0.1894

**Energy of formation**: 0.039 eV per atom
**ρ**: 8.04 g/cm³
**DOS at the Fermi energy**: 36.5 states/eV/cell

***

Computed, not measured: LaTb6Th after structural relaxation at the PBE level of DFT.

Unit cell a=6.587 b=6.772 c=6.894 alpha=62.27 beta=77.27 gamma=89.99
Space group P-1 (No. 2)
Symmetry-distinct sites (fractional):
La 0.000 0.000 0.000
Tb 0.234 0.576 0.517
Tb 0.255 0.541 0.002
Tb 0.275 0.095 0.471
Th 0.500 0.000 0.000

**ΔE to the lowest computed polymorph**: 1.52 eV per formula unit
**Energy of formation**: 0.218 eV per atom
**ρ**: 8.34 g/cm³
**DOS at the Fermi energy**: 14.6 states/eV/cell

***

Computed, not measured: La8Tb3Th2 after structural relaxation at the PBE level of DFT.

Unit cell a=21.065 b=7.534 c=5.874 alpha=90.00 beta=90.08 gamma=90.00
Space group C2/m (No. 12)
Symmetry-distinct sites (fractional):
La 0.106 0.204 0.000
La 0.136 0.500 0.499
La 0.175 0.000 0.502
Tb 0.000 0.226 0.500
Tb 0.000 0.500 0.000
Th 0.243 0.500 0.997

**Energy of formation**: 0.219 eV per atom
**ρ**: 7.31 g/cm³
**DOS at the Fermi energy**: 39.3 states/eV/cell

***

Computed, not measured: La6Tb5Th after structural relaxation at the PBE level of DFT.

Unit cell a=5.200 b=10.226 c=15.567 alpha=90.00 beta=90.00 gamma=90.00
Space group Immm (No. 71)
Symmetry-distinct sites (fractional):
La 0.000 0.248 0.000
La 0.000 0.250 0.336
Tb 0.000 0.000 0.162
Tb 0.000 0.000 0.500
Tb 0.000 0.500 0.168
Th 0.000 0.500 0.500

**Energy of formation**: 0.034 eV per atom
**ρ**: 7.46 g/cm³
**DOS at the Fermi energy**: 40.3 states/eV/cell